1.
Below is a relaxed Mn4SbAs crystal, with properties calculated at the PBE level.

ΔE_f (raw), meV per atom: 335
Crystal system: cubic
Relative energy among the computed polymorphs, kJ/mol of formula units: 185
Space group: F-43m (216)
Mass density, Mg/m³: 7.757
Total magnetic moment, μB per atom: 1.587

The structure in POSCAR format:
```
Mn4SbAs
1.0
0.000 3.546 3.546
3.546 0.000 3.546
3.546 3.546 0.000
Mn Sb As
4 1 1
direct
0.876 0.375 0.375 Mn
0.375 0.375 0.876 Mn
0.375 0.876 0.375 Mn
0.375 0.375 0.375 Mn
0.750 0.750 0.750 Sb
0.000 0.000 0.000 As
```

2.
Below is a relaxed Sr3TcC2N6 crystal, with properties calculated at the PBE level.

ΔE_f (raw), meV per atom: -363
Crystal system: trigonal
Space group: P-3m1 (164)
Mass density, Mg/m³: 4.886
Total magnetic moment, μB per atom: 0.062

The structure in POSCAR format:
```
Sr3TcC2N6
1.0
5.380 0.000 0.000
-2.690 4.660 0.000
0.000 0.000 6.356
Sr Tc C N
3 1 2 6
direct
0.333 0.667 0.702 Sr
0.667 0.333 0.298 Sr
0.000 0.000 0.000 Sr
0.000 0.000 0.500 Tc
0.667 0.333 0.702 C
0.333 0.667 0.298 C
0.629 0.814 0.298 N
0.186 0.371 0.298 N
0.186 0.814 0.298 N
0.814 0.629 0.702 N
0.371 0.186 0.702 N
0.814 0.186 0.702 N
```